## TlCrOs2 (meta-GGA SCAN)

Data for a PBEsol-optimized structure of TlCrOs2.

Lattice parameters (Å, degrees): 2.964 4.492 4.636 90.00 90.00 90.00
Positions (direct):
1 Tl 0.000 0.000 0.000
2 Cr 0.500 0.000 0.500
3 Os 0.000 0.500 0.500
4 Os 0.500 0.500 0.000

Summary:
E = -57.731 eV/atom
Formation energy from the elements = 0.895 eV per atom
E above lowest polymorph = 1.01 eV per formula unit
V = 15.43 Å³ per atom

***

## Tl2CrOs (meta-GGA SCAN)

Data for a PBEsol-optimized structure of Tl2CrOs.

Lattice parameters (Å, degrees): 4.698 4.698 4.698 60.00 60.00 60.00
Positions (direct):
1 Tl 0.000 0.000 0.000
2 Tl 0.250 0.250 0.250
3 Cr 0.750 0.750 0.750
4 Os 0.500 0.500 0.500

Summary:
E = -57.726 eV/atom
Formation energy from the elements = 1.019 eV per atom
E above lowest polymorph = 1.08 eV per formula unit
V = 18.33 Å³ per atom

***

## Tl2CrOs (meta-GGA SCAN)

Data for a PBEsol-optimized structure of Tl2CrOs.

Lattice parameters (Å, degrees): 4.800 4.800 5.159 101.19 101.19 38.68
Positions (direct):
1 Tl 0.248 0.248 0.247
2 Tl 0.752 0.752 0.753
3 Cr 0.000 0.000 0.500
4 Os 0.500 0.500 0.000

Summary:
E = -57.996 eV/atom
Formation energy from the elements = 0.749 eV per atom
E above lowest polymorph = 0.00 eV per formula unit
V = 18.18 Å³ per atom

***

## TlCrOs2 (meta-GGA SCAN)

Data for a PBEsol-optimized structure of TlCrOs2.

Lattice parameters (Å, degrees): 4.409 4.409 4.409 60.00 60.00 60.00
Positions (direct):
1 Tl 0.000 0.000 0.000
2 Cr 0.500 0.500 0.500
3 Os 0.250 0.250 0.250
4 Os 0.750 0.750 0.750

Summary:
E = -57.889 eV/atom
Formation energy from the elements = 0.737 eV per atom
E above lowest polymorph = 0.38 eV per formula unit
V = 15.15 Å³ per atom

***

## Tl2CrOs (meta-GGA SCAN)

Data for a PBEsol-optimized structure of Tl2CrOs.

Lattice parameters (Å, degrees): 8.913 8.913 8.913 20.25 20.25 20.25
Positions (direct):
1 Tl 0.249 0.249 0.249
2 Tl 0.751 0.751 0.751
3 Cr 0.000 0.000 0.000
4 Os 0.500 0.500 0.500

Summary:
E = -57.905 eV/atom
Formation energy from the elements = 0.840 eV per atom
E above lowest polymorph = 0.36 eV per formula unit
V = 18.55 Å³ per atom

***

## TlCrOs2 (meta-GGA SCAN)

Data for a PBEsol-optimized structure of TlCrOs2.

Lattice parameters (Å, degrees): 9.148 9.148 9.148 17.63 17.63 17.63
Positions (direct):
1 Tl 0.000 0.000 0.000
2 Cr 0.500 0.500 0.500
3 Os 0.238 0.238 0.238
4 Os 0.762 0.762 0.762

Summary:
E = -57.984 eV/atom
Formation energy from the elements = 0.642 eV per atom
E above lowest polymorph = 0.00 eV per formula unit
V = 15.32 Å³ per atom

***

## Tl2CrOs (meta-GGA SCAN)

Data for a PBEsol-optimized structure of Tl2CrOs.

Lattice parameters (Å, degrees): 3.222 4.503 5.039 90.00 90.00 90.00
Positions (direct):
1 Tl 0.000 0.000 0.000
2 Tl 0.500 0.000 0.500
3 Cr 0.000 0.500 0.500
4 Os 0.500 0.500 0.000

Summary:
E = -57.911 eV/atom
Formation energy from the elements = 0.834 eV per atom
E above lowest polymorph = 0.34 eV per formula unit
V = 18.28 Å³ per atom

***

## CrOsW2 (meta-GGA SCAN)

Data for a PBEsol-optimized structure of CrOsW2.

Lattice parameters (Å, degrees): 4.734 4.734 4.686 100.15 100.15 34.00
Positions (direct):
1 Cr 0.000 0.000 0.000
2 Os 0.500 0.500 0.500
3 W 0.248 0.248 0.751
4 W 0.752 0.752 0.249

Summary:
E = -57.072 eV/atom
Formation energy from the elements = 0.338 eV per atom
E above lowest polymorph = 0.76 eV per formula unit
V = 14.43 Å³ per atom